No. 1
A plane-wave DFT calculation with PBE was carried out for a geometry-optimized PrHfNbO6 structure.

The total DFT energy (no corrections) is -9.21 eV per atom. The calculation puts the magnetic moment at 0.000 μB per atom. For the density of states at the Fermi level, the calculation gives 0.00 states/eV/cell. The symmetry is P-31c, No. 163. Its energy relative to the elements, uncorrected is -3.149 eV/atom.

Cell: 5.4228 5.4228 10.1961 Å, 90.00 90.00 120.00°
Last column: nearest neighbours and their distance in Å.
Sites, in units of the cell vectors:
Pr 0.0000 0.0000 0.0000  6 O 2.44
Pr 0.0000 0.0000 0.5000  6 O 2.44
Hf 0.3333 0.6667 0.2500  6 O 2.09
Hf 0.6667 0.3333 0.7500  6 O 2.09
Nb 0.3333 0.6667 0.7500  6 O 2.02
Nb 0.6667 0.3333 0.2500  6 O 2.02
O 0.0088 0.3686 0.6413  1 Nb 2.02, 1 Hf 2.09
O 0.0088 0.6401 0.8587  1 Nb 2.02, 1 Hf 2.09
O 0.3599 0.3686 0.8587  1 Nb 2.02, 1 Hf 2.09
O 0.3599 0.9912 0.6413  1 Nb 2.02, 1 Hf 2.09
O 0.3686 0.0088 0.1413  1 Nb 2.02, 1 Hf 2.09
O 0.3686 0.3599 0.3587  1 Nb 2.02, 1 Hf 2.09
O 0.6314 0.6401 0.6413  1 Nb 2.02, 1 Hf 2.09
O 0.6314 0.9912 0.8587  1 Nb 2.02, 1 Hf 2.09
O 0.6401 0.0088 0.3587  1 Nb 2.02, 1 Hf 2.09
O 0.6401 0.6314 0.1413  1 Nb 2.02, 1 Hf 2.09
O 0.9912 0.3599 0.1413  1 Nb 2.02, 1 Hf 2.09
O 0.9912 0.6314 0.3587  1 Nb 2.02, 1 Hf 2.09


No. 2
A plane-wave DFT calculation with PBE was carried out for a geometry-optimized SiSe2Br structure.

As for the energy relative to the lowest polymorph listed for this composition: 783 meV/atom. The total DFT energy (no corrections) is -2.85 eV per atom. The calculation puts the magnetic moment at 0.000 μB per atom. For the density of states at the Fermi level, the calculation gives 2.12 states/eV/cell. The symmetry is P4/mmm, No. 123. Its energy relative to the elements, uncorrected is 0.670 eV/atom.

Cell: 5.1485 5.1485 3.2055 Å, 90.00 90.00 90.00°
Last column: nearest neighbours and their distance in Å.
Sites, in units of the cell vectors:
Si 0.0000 0.0000 0.0000  8 Se 3.03, 2 Si 3.21
Se 0.0000 0.5000 0.5000  4 Br 3.03, 4 Si 3.03, 2 Se 3.21
Se 0.5000 0.0000 0.5000  4 Br 3.03, 4 Si 3.03, 2 Se 3.21
Br 0.5000 0.5000 0.0000  8 Se 3.03, 2 Br 3.21


No. 3
A plane-wave DFT calculation with PBE was carried out for a geometry-optimized LiLaBiPt structure.

The total DFT energy (no corrections) is -4.88 eV per atom. The calculation puts the magnetic moment at 0.000 μB per atom. For the density of states at the Fermi level, the calculation gives 3.03 states/eV/cell. The symmetry is F-43m, No. 216. The energy relative to the elements comes out at -0.69 eV per atom.

Cell: 5.0532 5.0532 5.0532 Å, 60.00 60.00 60.00°
Last column: nearest neighbours and their distance in Å.
Sites, in units of the cell vectors:
Li 0.0000 0.0000 0.0000  4 Bi 3.09, 4 La 3.09
La 0.7500 0.7500 0.7500  4 Li 3.09, 4 Pt 3.09
Bi 0.2500 0.2500 0.2500  4 Pt 3.09, 4 Li 3.09
Pt 0.5000 0.5000 0.5000  4 La 3.09, 4 Bi 3.09


No. 4
A plane-wave DFT calculation with PBE was carried out for a geometry-optimized Sr3ScAs3 structure.

The total DFT energy (no corrections) is -4.79 eV per atom. The calculation puts the magnetic moment at 0.000 μB per atom. The symmetry is Cmce, No. 64. The energy relative to the elements comes out at -1.18 eV per atom.

Cell: 10.3569 10.3569 12.7705 Å, 90.00 90.00 39.48°
Last column: nearest neighbours and their distance in Å.
Sites, in units of the cell vectors:
Sr 0.0100 0.3495 0.8659  4 As 3.14-3.38, 1 Sc 3.40
Sr 0.1505 0.4900 0.6341  4 As 3.14-3.38, 1 Sc 3.40
Sr 0.1561 0.8439 0.8435  5 As 3.11-3.41
Sr 0.3439 0.6561 0.3435  5 As 3.11-3.41
Sr 0.3495 0.0100 0.1341  4 As 3.14-3.38, 1 Sc 3.40
Sr 0.4900 0.1505 0.3659  4 As 3.14-3.38, 1 Sc 3.40
Sr 0.5100 0.8495 0.6341  4 As 3.14-3.38, 1 Sc 3.40
Sr 0.6505 0.9900 0.8659  4 As 3.14-3.38, 1 Sc 3.40
Sr 0.6561 0.3439 0.6565  5 As 3.11-3.41
Sr 0.8439 0.1561 0.1565  5 As 3.11-3.41
Sr 0.8495 0.5100 0.3659  4 As 3.14-3.38, 1 Sc 3.40
Sr 0.9900 0.6505 0.1341  4 As 3.14-3.38, 1 Sc 3.40
Sc 0.0872 0.0872 0.5000  4 As 2.60-2.65
Sc 0.4128 0.4128 0.0000  4 As 2.60-2.65
Sc 0.5872 0.5872 0.0000  4 As 2.60-2.65
Sc 0.9128 0.9128 0.5000  4 As 2.60-2.65
As 0.0577 0.6218 0.3783  1 Sc 2.60
As 0.1218 0.5577 0.8783  1 Sc 2.60
As 0.2229 0.7771 0.6020  2 Sc 2.65
As 0.2771 0.7229 0.1020  2 Sc 2.65
As 0.3782 0.9423 0.3783  1 Sc 2.60
As 0.4423 0.8782 0.8783  1 Sc 2.60
As 0.5577 0.1218 0.1217  1 Sc 2.60
As 0.6218 0.0577 0.6217  1 Sc 2.60
As 0.7229 0.2771 0.8980  2 Sc 2.65
As 0.7771 0.2229 0.3980  2 Sc 2.65
As 0.8782 0.4423 0.1217  1 Sc 2.60
As 0.9423 0.3782 0.6217  1 Sc 2.60


No. 5
A plane-wave DFT calculation with PBE was carried out for a geometry-optimized ScBeCd2 structure.

As for the energy relative to the lowest polymorph listed for this composition: 0 meV/atom. The total DFT energy (no corrections) is -2.96 eV per atom. The calculation puts the magnetic moment at 0.086 μB per atom. For the density of states at the Fermi level, the calculation gives 2.75 states/eV/cell. The symmetry is P4mm, No. 99. The energy relative to the elements comes out at 0.01 eV per atom.

Cell: 3.0775 3.0775 7.8186 Å, 90.00 90.00 90.00°
Last column: nearest neighbours and their distance in Å.
Sites, in units of the cell vectors:
Sc 0.0000 0.0000 0.0000  4 Be 2.76, 4 Sc 3.08
Be 0.5000 0.5000 0.2172  4 Cd 2.66, 4 Sc 2.76
Cd 0.0000 0.0000 0.4132  4 Be 2.66
Cd 0.5000 0.5000 0.7080  8 Cd 3.08-3.17, 4 Sc 3.15


No. 6
A plane-wave DFT calculation with PBE was carried out for a geometry-optimized TcSbPb2 structure.

The total DFT energy (no corrections) is -5.29 eV per atom. The calculation puts the magnetic moment at 0.000 μB per atom. For the density of states at the Fermi level, the calculation gives 2.49 states/eV/cell. The symmetry is P4mm, No. 99. Its energy relative to the elements, uncorrected is 0.189 eV/atom.

Cell: 3.3934 3.3934 8.4716 Å, 90.00 90.00 90.00°
Last column: nearest neighbours and their distance in Å.
Sites, in units of the cell vectors:
Tc 0.0000 0.0000 0.0000  4 Sb 2.73
Sb 0.5000 0.5000 0.8453  4 Tc 2.73
Pb 0.0000 0.0000 0.5592  8 Pb 3.39-3.67, 4 Sb 3.41, 1 Tc 3.73
Pb 0.5000 0.5000 0.2319  4 Tc 3.10, 1 Sb 3.28, 4 Pb 3.39


No. 7
A plane-wave DFT calculation with PBE was carried out for a geometry-optimized La3Tb6Pm2Nd structure.

The total DFT energy (no corrections) is -4.72 eV per atom. The calculation puts the magnetic moment at 0.000 μB per atom. For the density of states at the Fermi level, the calculation gives 15.35 states/eV/cell. The symmetry is C2/m, No. 12. The energy relative to the elements comes out at 0.01 eV per atom.

Cell: 6.3145 6.3145 11.9297 Å, 95.05 95.05 120.03°
Last column: nearest neighbours and their distance in Å.
Sites, in units of the cell vectors:
La 0.0000 0.0000 0.0000  6 Tb 3.63-3.64, 6 La 3.64-3.65
La 0.3333 0.6667 0.0000  6 Tb 3.63-3.64, 6 La 3.64-3.65
La 0.6667 0.3333 0.0000  6 Tb 3.63-3.64, 6 La 3.64-3.65
Tb 0.0841 0.4176 0.2524  2 Pm 3.59, 1 Nd 3.59, 3 La 3.63-3.64, 6 Tb 3.64-3.65
Tb 0.2489 0.2489 0.7476  2 Pm 3.59, 1 Nd 3.59, 3 La 3.63-3.64, 6 Tb 3.64-3.65
Tb 0.4176 0.0841 0.2524  2 Pm 3.59, 1 Nd 3.59, 3 La 3.63-3.64, 6 Tb 3.64-3.65
Tb 0.5824 0.9159 0.7476  2 Pm 3.59, 1 Nd 3.59, 3 La 3.63-3.64, 6 Tb 3.64-3.65
Tb 0.7511 0.7511 0.2524  2 Pm 3.59, 1 Nd 3.59, 3 La 3.63-3.64, 6 Tb 3.64-3.65
Tb 0.9159 0.5824 0.7476  2 Pm 3.59, 1 Nd 3.59, 3 La 3.63-3.64, 6 Tb 3.64-3.65
Pm 0.1667 0.8333 0.5000  6 Tb 3.59, 3 Pm 3.64-3.65, 3 Nd 3.64-3.65
Pm 0.8333 0.1667 0.5000  6 Tb 3.59, 3 Pm 3.64-3.65, 3 Nd 3.64-3.65
Nd 0.5000 0.5000 0.5000  6 Tb 3.59, 6 Pm 3.64-3.65


No. 8
A plane-wave DFT calculation with PBE was carried out for a geometry-optimized CeDyAl structure.

As for the energy relative to the lowest polymorph listed for this composition: 64 meV/atom. The total DFT energy (no corrections) is -4.92 eV per atom. The calculation puts the magnetic moment at 0.363 μB per atom. For the density of states at the Fermi level, the calculation gives 11.17 states/eV/cell. The symmetry is Immm, No. 71. The energy relative to the elements comes out at -0.16 eV per atom.

Cell: 6.1659 6.1659 6.1659 Å, 130.94 114.05 86.40°
Last column: nearest neighbours and their distance in Å.
Sites, in units of the cell vectors:
Ce 0.1583 0.1583 0.0000  1 Ce 2.85, 2 Al 3.07
Ce 0.8417 0.8417 0.0000  1 Ce 2.85, 2 Al 3.07
Dy 0.2644 0.5000 0.7644  1 Dy 3.16, 4 Al 3.31, 6 Ce 3.42-3.45
Dy 0.7356 0.5000 0.2356  1 Dy 3.16, 4 Al 3.31, 6 Ce 3.42-3.45
Al 0.3476 0.8476 0.5000  1 Al 2.74
Al 0.6524 0.1524 0.5000  1 Al 2.74


No. 9
A plane-wave DFT calculation with PBE was carried out for a geometry-optimized Rb2BaSnI6 structure.

As for the energy relative to the lowest polymorph listed for this composition: 0 meV/atom. The total DFT energy (no corrections) is -2.99 eV per atom. The calculation puts the magnetic moment at 0.000 μB per atom. For the density of states at the Fermi level, the calculation gives 0.00 states/eV/cell. The symmetry is P2_1/c, No. 14. Its energy relative to the elements, uncorrected is -1.277 eV/atom.

Cell: 8.6542 9.2196 15.1323 Å, 90.00 123.94 90.00°
Last column: nearest neighbours and their distance in Å.
Sites, in units of the cell vectors:
Rb 0.2139 0.0853 0.2465  6 I 3.72-3.94
Rb 0.2139 0.4147 0.7465  6 I 3.72-3.94
Rb 0.7861 0.5853 0.2535  6 I 3.72-3.94
Rb 0.7861 0.9147 0.7535  6 I 3.72-3.94
Ba 0.5000 0.0000 0.0000  6 I 3.46
Ba 0.5000 0.5000 0.5000  6 I 3.46
Sn 0.0000 0.0000 0.5000  6 I 3.21-3.22
Sn 0.0000 0.5000 0.0000  6 I 3.21-3.22
I 0.1151 0.2045 0.9367  1 Sn 3.22, 1 Ba 3.46
I 0.1151 0.2955 0.4367  1 Sn 3.22, 1 Ba 3.46
I 0.2396 0.6862 0.9383  1 Sn 3.21, 1 Ba 3.46
I 0.2396 0.8138 0.4383  1 Sn 3.21, 1 Ba 3.46
I 0.3619 0.0386 0.7384  1 Sn 3.21, 1 Ba 3.46
I 0.3619 0.4614 0.2384  1 Sn 3.21, 1 Ba 3.46
I 0.6381 0.5386 0.7616  1 Sn 3.21, 1 Ba 3.46
I 0.6381 0.9614 0.2616  1 Sn 3.21, 1 Ba 3.46
I 0.7604 0.1862 0.5617  1 Sn 3.21, 1 Ba 3.46
I 0.7604 0.3138 0.0617  1 Sn 3.21, 1 Ba 3.46
I 0.8849 0.7045 0.5633  1 Sn 3.22, 1 Ba 3.46
I 0.8849 0.7955 0.0633  1 Sn 3.22, 1 Ba 3.46


No. 10
A plane-wave DFT calculation with PBE was carried out for a geometry-optimized BeRuBr structure.

As for the energy relative to the lowest polymorph listed for this composition: 486 meV/atom. The total DFT energy (no corrections) is -3.91 eV per atom. The calculation puts the magnetic moment at 0.164 μB per atom. For the density of states at the Fermi level, the calculation gives 2.52 states/eV/cell. The symmetry is F-43m, No. 216. Its energy relative to the elements, uncorrected is 0.977 eV/atom.

Cell: 4.0320 4.0320 4.0320 Å, 60.00 60.00 60.00°
Last column: nearest neighbours and their distance in Å.
Sites, in units of the cell vectors:
Be 0.0000 0.0000 0.0000  4 Br 2.47, 4 Ru 2.47
Ru 0.7500 0.7500 0.7500  4 Be 2.47
Br 0.2500 0.2500 0.2500  4 Be 2.47


No. 11
A plane-wave DFT calculation with PBE was carried out for a geometry-optimized Mn7AlC2 structure.

The total DFT energy (no corrections) is -8.44 eV per atom. The calculation puts the magnetic moment at 1.285 μB per atom. For the density of states at the Fermi level, the calculation gives 10.57 states/eV/cell. The symmetry is Cmmm, No. 65. The energy relative to the elements comes out at 0.20 eV per atom.

Cell: 5.8750 5.8750 3.9175 Å, 90.00 90.00 114.46°
Last column: nearest neighbours and their distance in Å.
Sites, in units of the cell vectors:
Mn 0.0000 0.0000 0.0000  2 C 1.98
Mn 0.1721 0.4391 0.0000  2 C 2.05-2.06
Mn 0.2098 0.7902 0.5000  2 C 1.96
Mn 0.4391 0.1721 0.0000  2 C 2.05-2.06
Mn 0.5609 0.8279 0.0000  2 C 2.05-2.06
Mn 0.7902 0.2098 0.5000  2 C 1.96
Mn 0.8279 0.5609 0.0000  2 C 2.05-2.06
Al 0.5000 0.5000 0.5000  10 Mn 2.67-2.87
C 0.2000 0.8000 0.0000  7 Mn 1.96-2.06
C 0.8000 0.2000 0.0000  7 Mn 1.96-2.06


No. 12
A plane-wave DFT calculation with PBE was carried out for a geometry-optimized Mn2VRe structure.

As for the energy relative to the lowest polymorph listed for this composition: 48 meV/atom. The total DFT energy (no corrections) is -10.02 eV per atom. The calculation puts the magnetic moment at 0.000 μB per atom. For the density of states at the Fermi level, the calculation gives 5.43 states/eV/cell. The symmetry is Fm-3m, No. 225. The energy relative to the elements comes out at -0.04 eV per atom.

Cell: 4.1321 4.1321 4.1321 Å, 60.00 60.00 60.00°
Last column: nearest neighbours and their distance in Å.
Sites, in units of the cell vectors:
Mn 0.2500 0.2500 0.2500  4 Re 2.53, 4 V 2.53
Mn 0.7500 0.7500 0.7500  4 Re 2.53, 4 V 2.53
V 0.0000 0.0000 0.0000  8 Mn 2.53
Re 0.5000 0.5000 0.5000  8 Mn 2.53